[1]
Entry from the Alexandria database: a crystal of BaZnCd2 relaxed with PBEsol (SCAN).

Unit cell a=3.388 b=5.610 c=6.516 alpha=113.58 beta=102.09 gamma=96.73
Fractional coordinates of all 4 atoms:
Ba  0.000  0.500  0.000
Cd  0.000  0.000  0.500
Cd  0.500  0.500  0.500
Zn  0.500  0.000  0.000

Formation energy: 0.129 eV/atom
DFT total energy: -28.34 eV/atom
Volume: 108.1 Å³/cell

[2]
Entry from the Alexandria database: a crystal of SrAcTl2 relaxed with PBEsol (SCAN).

Unit cell a=5.710 b=5.710 c=5.710 alpha=60.00 beta=60.00 gamma=60.00
Fractional coordinates of all 4 atoms:
Sr  0.000  0.000  0.000
Ac  0.500  0.500  0.500
Tl  0.250  0.250  0.250
Tl  0.750  0.750  0.750

Formation energy: -0.605 eV/atom
DFT total energy: -64.97 eV/atom
Volume: 131.7 Å³/cell

[3]
Entry from the Alexandria database: a crystal of NaScOF2 relaxed with PBEsol (SCAN).

Unit cell a=3.732 b=3.732 c=4.196 alpha=90.00 beta=90.00 gamma=90.00
Fractional coordinates of all 5 atoms:
Sc  0.500  0.500  0.500
Na  0.000  0.000  0.000
O  0.000  0.000  0.500
F  0.000  0.500  0.000
F  0.500  0.000  0.000

DFT total energy: -8.61 eV/atom
Volume: 58.4 Å³/cell
Formation energy (no corrections): -2.26 eV/atom

[4]
Entry from the Alexandria database: a crystal of CaLa2BiO6 relaxed with PBEsol (SCAN).

Unit cell a=6.075 b=6.075 c=6.150 alpha=60.41 beta=60.41 gamma=60.00
Last column: magnetic moment on the atom in μB.
Fractional coordinates of all 10 atoms:
Ca  0.500  0.500  0.500  -0.01
La  0.780  0.780  0.661  0.00
La  0.220  0.220  0.339  0.00
Bi  0.000  0.000  0.000  -0.07
O  0.793  0.126  0.718  -0.11
O  0.126  0.363  0.718  -0.11
O  0.363  0.793  0.718  -0.11
O  0.207  0.874  0.282  -0.11
O  0.637  0.207  0.282  -0.11
O  0.874  0.637  0.282  -0.11

DFT total energy: -23.94 eV/atom
Volume: 161.5 Å³/cell
Formation energy (no corrections): -2.76 eV/atom

What did the fourth record say?
Entry from the Alexandria database: a crystal of CaLa2BiO6 relaxed with PBEsol (SCAN).

Unit cell a=6.075 b=6.075 c=6.150 alpha=60.41 beta=60.41 gamma=60.00
Last column: magnetic moment on the atom in μB.
Fractional coordinates of all 10 atoms:
Ca  0.500  0.500  0.500  -0.01
La  0.780  0.780  0.661  0.00
La  0.220  0.220  0.339  0.00
Bi  0.000  0.000  0.000  -0.07
O  0.793  0.126  0.718  -0.11
O  0.126  0.363  0.718  -0.11
O  0.363  0.793  0.718  -0.11
O  0.207  0.874  0.282  -0.11
O  0.637  0.207  0.282  -0.11
O  0.874  0.637  0.282  -0.11

DFT total energy: -23.94 eV/atom
Volume: 161.5 Å³/cell
Formation energy (no corrections): -2.76 eV/atom

Q: The highest DFT total energy belongs to which entry?
A: NaScOF2